[1]
Computed, not measured: a geometry-optimized La12MgIn3 structure at the PBE level of DFT.

The formation enthalpy at 0 K is -0.2323 eV/atom. For the size of the total moment, the calculation gives 0.000 μB per atom.

The structure in POSCAR format:
```
La12MgIn3
1.0
5.0896 0.0000 0.0000
0.0000 5.0896 0.0000
0.0000 0.0000 20.2547
La Mg In
12 1 3
Cartesian
0.0000 0.0000 0.0000
0.0000 0.0000 5.0575
0.0000 0.0000 10.1273
0.0000 0.0000 15.1972
0.0000 2.5448 2.5241
0.0000 2.5448 7.5530
0.0000 2.5448 12.7016
0.0000 2.5448 17.7305
2.5448 0.0000 2.5241
2.5448 0.0000 7.5530
2.5448 0.0000 12.7016
2.5448 0.0000 17.7305
2.5448 2.5448 10.1273
2.5448 2.5448 0.0000
2.5448 2.5448 5.0570
2.5448 2.5448 15.1977
```

[2]
Computed, not measured: a geometry-optimized AlGa3O6 structure at the PBE level of DFT.

For the size of the total moment, the calculation gives 0.000 μB per atom. For the formation energy from raw total energies, the calculation gives -1847 meV per atom.

The structure in POSCAR format:
```
AlGa3O6
1.0
3.6620 -4.9036 0.0000
3.6620 4.9036 0.0000
0.0000 0.0000 2.9490
Al Ga O
1 3 6
Cartesian
0.0000 0.0000 0.0000
1.8310 2.4518 1.4745
1.8310 -2.4518 1.4745
3.6620 0.0000 0.0000
3.6620 3.6471 1.4745
2.3044 1.2756 0.0000
2.3044 -1.2756 0.0000
5.0195 1.2756 0.0000
5.0195 -1.2756 0.0000
3.6620 -3.6471 1.4745
```

[3]
Computed, not measured: a geometry-optimized TbTh2Bi4 structure at the PBE level of DFT.

The formation enthalpy at 0 K is -0.6377 eV/atom. For the size of the total moment, the calculation gives 0.000 μB per atom.

The structure in POSCAR format:
```
TbTh2Bi4
1.0
-4.7878 4.7878 4.8445
4.7878 -4.7878 4.8445
4.7878 4.7878 -4.8445
Tb Th Bi
2 4 8
Cartesian
0.0000 0.0000 0.0000
0.0000 4.7878 2.4223
2.3939 3.6237 -1.2111
5.9520 2.3939 1.2111
2.3939 1.1641 3.6334
-1.1641 2.3939 6.0557
5.5496 3.1086 -1.9986
3.1086 0.7618 0.4236
4.0260 -1.6793 4.4209
-0.7618 1.6793 2.8459
3.1086 4.0260 1.9986
0.7618 6.4671 -0.4236
1.6793 0.7618 6.8432
1.6793 4.0260 5.2682
```

[4]
Computed, not measured: a geometry-optimized SrPtSe2 structure at the PBE level of DFT.

For the size of the total moment, the calculation gives 0.000 μB per atom. For the formation energy from raw total energies, the calculation gives -329 meV per atom.

The structure in POSCAR format:
```
SrPtSe2
1.0
3.5559 0.0000 0.0000
0.0000 3.5559 0.0000
0.0000 0.0000 7.0836
Sr Pt Se
1 1 2
Cartesian
0.0000 0.0000 0.0000
0.0000 0.0000 3.5418
1.7779 1.7779 2.0110
1.7779 1.7779 5.0726
```

[5]
Computed, not measured: a geometry-optimized Cu3Ni2Pt2 structure at the PBE level of DFT.

The formation enthalpy at 0 K is 0.1300 eV/atom. For the size of the total moment, the calculation gives 0.234 μB per atom.

The structure in POSCAR format:
```
Cu3Ni2Pt2
1.0
4.0626 0.0000 0.0000
0.0000 2.5961 0.0000
-2.0201 0.0000 9.0426
Cu Ni Pt
3 2 2
Cartesian
0.0000 0.0000 0.0000
0.0056 0.0000 5.1497
2.0369 0.0000 3.8929
0.0055 1.2980 7.7626
2.0370 1.2980 1.2800
0.0061 0.0000 2.4631
2.0364 0.0000 6.5795
```

[6]
Computed, not measured: a geometry-optimized InSn2I6 structure at the PBE level of DFT.

For the size of the total moment, the calculation gives 0.000 μB per atom. For the formation energy from raw total energies, the calculation gives -440 meV per atom.

The structure in POSCAR format:
```
InSn2I6
1.0
7.8026 0.0000 0.0000
-3.9013 6.7572 0.0000
0.0000 0.0000 7.3057
In Sn I
1 2 6
Cartesian
0.0000 0.0000 0.0000
0.0000 4.5048 3.6528
3.9013 2.2524 3.6528
-1.3095 2.2681 1.7954
-2.5918 4.4891 5.5103
2.6190 0.0000 1.7954
1.3095 2.2681 5.5103
5.1836 0.0000 5.5103
2.5918 4.4891 1.7954
```

[7]
Computed, not measured: a geometry-optimized La2YCoAg structure at the PBE level of DFT.

The formation enthalpy at 0 K is -0.0687 eV/atom. For the size of the total moment, the calculation gives 0.000 μB per atom.

The structure in POSCAR format:
```
La2YCoAg
1.0
5.1937 0.0000 0.0000
0.0000 5.1937 0.0000
0.0000 0.0000 5.4309
La Y Co Ag
2 1 1 1
Cartesian
0.0000 2.5968 0.0000
2.5968 0.0000 0.0000
0.0000 0.0000 2.7154
0.0000 0.0000 0.0000
2.5968 2.5968 2.7154
```

[8]
Computed, not measured: a geometry-optimized NdMgSc structure at the PBE level of DFT.

The formation enthalpy at 0 K is -0.0174 eV/atom. For the size of the total moment, the calculation gives 0.130 μB per atom.

The structure in POSCAR format:
```
NdMgSc
1.0
3.5413 0.0000 0.0000
0.0000 3.5413 0.0000
0.0000 0.0000 13.2059
Nd Mg Sc
2 2 2
Cartesian
0.0000 0.0000 0.0000
1.7707 1.7707 6.6030
0.0000 0.0000 8.9581
1.7707 1.7707 2.3552
0.0000 0.0000 4.2892
1.7707 1.7707 10.8922
```